Entry 1:
An optimized crystal structure of BiPSe3, computed with PBE-GGA.

```
data_BiPSe3
_chemical_formula_sum 'Bi1 P1 Se3'
_cell_length_a 4.889
_cell_length_b 4.889
_cell_length_c 4.889
_cell_angle_alpha 90.00
_cell_angle_beta 90.00
_cell_angle_gamma 90.00
_space_group_name_H-M_alt 'P 1'
_space_group_IT_number 1
_space_group_name_Hall 'P 1'
loop_
_atom_site_label
_atom_site_fract_x
_atom_site_fract_y
_atom_site_fract_z
Se1 0.000 0.000 0.500
P1 0.000 0.000 0.000
Bi1 0.500 0.500 0.500
Se2 0.000 0.500 0.000
Se3 0.500 0.000 0.000
```

Summary:
E_tot: -3.736 eV/atom
Density: 6.775 g cm⁻³
SG: Pm-3m


Entry 2:
An optimized crystal structure of KSi2BRu, computed with PBE-GGA.

```
data_KSi2BRu
_chemical_formula_sum 'K1 Si2 B1 Ru1'
_cell_length_a 5.017
_cell_length_b 4.206
_cell_length_c 5.017
_cell_angle_alpha 90.00
_cell_angle_beta 90.00
_cell_angle_gamma 90.00
_space_group_name_H-M_alt 'P 1'
_space_group_IT_number 1
_space_group_name_Hall 'P 1'
loop_
_atom_site_label
_atom_site_fract_x
_atom_site_fract_y
_atom_site_fract_z
Si1 0.000 0.000 0.500
Si2 0.500 0.000 0.000
K1 0.000 0.000 0.000
B1 0.000 0.500 0.000
Ru1 0.500 0.500 0.500
```

Summary:
E_tot: -2.579 eV/atom
Density: 3.250 g cm⁻³
SG: P4/mmm


Entry 3:
An optimized crystal structure of CuSiAg3, computed with PBE-GGA.

```
data_CuSiAg3
_chemical_formula_sum 'Cu1 Si1 Ag3'
_cell_length_a 4.763
_cell_length_b 4.763
_cell_length_c 4.763
_cell_angle_alpha 90.00
_cell_angle_beta 90.00
_cell_angle_gamma 90.00
_space_group_name_H-M_alt 'P 1'
_space_group_IT_number 1
_space_group_name_Hall 'P 1'
loop_
_atom_site_label
_atom_site_fract_x
_atom_site_fract_y
_atom_site_fract_z
Ag1 0.500 0.000 0.000
Si1 0.500 0.500 0.500
Ag2 0.000 0.500 0.000
Ag3 0.000 0.000 0.500
Cu1 0.000 0.000 0.000
```

Summary:
E_tot: -2.770 eV/atom
Density: 6.379 g cm⁻³
SG: Pm-3m


Entry 4:
An optimized crystal structure of Cu2PPb, computed with PBE-GGA.

```
data_Cu2PPb
_chemical_formula_sum 'Cu2 P1 Pb1'
_cell_length_a 5.170
_cell_length_b 5.170
_cell_length_c 4.209
_cell_angle_alpha 66.53
_cell_angle_beta 66.53
_cell_angle_gamma 110.48
_space_group_name_H-M_alt 'P 1'
_space_group_IT_number 1
_space_group_name_Hall 'P 1'
loop_
_atom_site_label
_atom_site_fract_x
_atom_site_fract_y
_atom_site_fract_z
Cu1 0.000 0.000 0.000
Pb1 0.000 0.500 0.500
P1 0.500 0.000 0.500
Cu2 0.500 0.500 0.000
```

Summary:
E_tot: -3.921 eV/atom
Density: 8.043 g cm⁻³
SG: Fmmm